(1)
Crystalline Ho8MgBi6 at its relaxed geometry. Source: Alexandria, functional PBE.

a b c (Å): 8.316 8.316 8.316
angles (deg): 67.22 67.22 67.22
Positions (direct):
Ho1 0.133 0.406 0.684
Ho2 0.168 0.168 0.168
Ho3 0.316 0.867 0.594
Ho4 0.406 0.684 0.133
Ho5 0.594 0.316 0.867
Ho6 0.684 0.133 0.406
Ho7 0.832 0.832 0.832
Ho8 0.867 0.594 0.316
Mg1 0.500 0.500 0.500
Bi1 0.045 0.799 0.423
Bi2 0.201 0.577 0.955
Bi3 0.423 0.045 0.799
Bi4 0.577 0.955 0.201
Bi5 0.799 0.423 0.045
Bi6 0.955 0.201 0.577

Output
- space group = R-3 (148)
- E_form (eV/atom) = -0.523
- VASP energy (Ry/atom) = -0.340

***

(2)
Crystalline HoMg2Bi at its relaxed geometry. Source: Alexandria, functional PBE.

a b c (Å): 11.818 11.818 11.818
angles (deg): 16.43 16.43 16.43
Positions (direct):
Ho1 0.000 0.000 0.000
Mg1 0.091 0.091 0.091
Mg2 0.909 0.909 0.909
Bi1 0.500 0.500 0.500

Output
- space group = R-3m (166)
- E_form (eV/atom) = 0.176
- VASP energy (Ry/atom) = -0.201

***

(3)
Crystalline HoMgBi2 at its relaxed geometry. Source: Alexandria, functional PBE.

a b c (Å): 5.429 5.429 5.429
angles (deg): 60.00 60.00 60.00
Positions (direct):
Ho1 0.000 0.000 0.000
Mg1 0.500 0.500 0.500
Bi1 0.250 0.250 0.250
Bi2 0.750 0.750 0.750

Output
- space group = Fm-3m (225)
- E_form (eV/atom) = -0.287
- VASP energy (Ry/atom) = -0.277

***

(4)
Crystalline HoMgBi2 at its relaxed geometry. Source: Alexandria, functional PBE.

a b c (Å): 7.581 7.581 7.581
angles (deg): 34.05 34.05 34.05
Positions (direct):
Ho1 0.000 0.000 0.000
Mg1 0.500 0.500 0.500
Bi1 0.247 0.247 0.247
Bi2 0.753 0.753 0.753

Output
- space group = R-3m (166)
- E_form (eV/atom) = -0.371
- VASP energy (Ry/atom) = -0.283

***

(5)
Crystalline HoMgBi2 at its relaxed geometry. Source: Alexandria, functional PBE.

a b c (Å): 4.579 4.579 10.745
angles (deg): 90.00 90.00 90.00
Positions (direct):
Ho1 0.250 0.250 0.222
Ho2 0.750 0.750 0.778
Mg1 0.250 0.750 0.500
Mg2 0.750 0.250 0.500
Bi1 0.250 0.250 0.691
Bi2 0.250 0.750 0.000
Bi3 0.750 0.250 0.000
Bi4 0.750 0.750 0.309

Output
- space group = P4/nmm (129)
- E_form (eV/atom) = -0.437
- VASP energy (Ry/atom) = -0.288

***

(6)
Crystalline Ho5MgBi4 at its relaxed geometry. Source: Alexandria, functional PBE.

a b c (Å): 7.645 7.645 7.645
angles (deg): 99.87 99.87 131.09
Positions (direct):
Ho1 0.000 0.000 0.000
Ho2 0.380 0.590 0.595
Ho3 0.590 0.994 0.210
Ho4 0.784 0.380 0.790
Ho5 0.994 0.784 0.405
Mg1 0.516 0.516 0.000
Bi1 0.087 0.472 0.188
Bi2 0.284 0.898 0.812
Bi3 0.472 0.284 0.386
Bi4 0.898 0.087 0.614

Output
- space group = I4 (79)
- E_form (eV/atom) = -0.554
- VASP energy (Ry/atom) = -0.335

***

(7)
Crystalline HoMgBi2 at its relaxed geometry. Source: Alexandria, functional PBE.

a b c (Å): 6.233 12.616 8.814
angles (deg): 90.00 134.90 90.00
Positions (direct):
Ho1 0.000 0.021 0.250
Ho2 0.000 0.479 0.750
Ho3 0.000 0.521 0.250
Ho4 0.000 0.979 0.750
Mg1 0.498 0.247 0.250
Mg2 0.498 0.253 0.750
Mg3 0.502 0.747 0.250
Mg4 0.502 0.753 0.750
Bi1 0.002 0.732 0.750
Bi2 0.002 0.768 0.250
Bi3 0.500 0.002 0.750
Bi4 0.500 0.498 0.250
Bi5 0.500 0.502 0.750
Bi6 0.500 0.998 0.250
Bi7 0.998 0.232 0.750
Bi8 0.998 0.268 0.250

Output
- space group = P2_1/c (14)
- E_form (eV/atom) = -0.380
- VASP energy (Ry/atom) = -0.284

***

(8)
Crystalline PrHoMgBi at its relaxed geometry. Source: Alexandria, functional PBE.

a b c (Å): 5.496 5.496 5.496
angles (deg): 60.00 60.00 60.00
Positions (direct):
Pr1 0.000 0.000 0.000
Ho1 0.500 0.500 0.500
Mg1 0.750 0.750 0.750
Bi1 0.250 0.250 0.250

Output
- space group = F-43m (216)
- E_form (eV/atom) = -0.322
- VASP energy (Ry/atom) = -0.296

***

(9)
Crystalline HoMgSc2Bi4 at its relaxed geometry. Source: Alexandria, functional PBE.

a b c (Å): 7.484 4.307 7.639
angles (deg): 90.00 109.36 90.00
Positions (direct):
Ho1 0.000 0.000 0.000
Mg1 0.500 0.500 0.000
Sc1 0.000 0.500 0.500
Sc2 0.500 0.000 0.500
Bi1 0.252 0.000 0.741
Bi2 0.257 0.500 0.262
Bi3 0.743 0.500 0.738
Bi4 0.748 0.000 0.259

Output
- space group = P2/m (10)
- E_form (eV/atom) = -0.519
- VASP energy (Ry/atom) = -0.354

***

(10)
Crystalline SmHoMgBi at its relaxed geometry. Source: Alexandria, functional PBE.

a b c (Å): 5.452 5.452 5.452
angles (deg): 60.00 60.00 60.00
Positions (direct):
Sm1 0.000 0.000 0.000
Ho1 0.500 0.500 0.500
Mg1 0.250 0.250 0.250
Bi1 0.750 0.750 0.750

Output
- space group = F-43m (216)
- E_form (eV/atom) = -0.310
- VASP energy (Ry/atom) = -0.294

***

(11)
Crystalline TbHoMgBi at its relaxed geometry. Source: Alexandria, functional PBE.

a b c (Å): 5.422 5.422 5.422
angles (deg): 60.00 60.00 60.00
Positions (direct):
Tb1 0.000 0.000 0.000
Ho1 0.500 0.500 0.500
Mg1 0.750 0.750 0.750
Bi1 0.250 0.250 0.250

Output
- space group = F-43m (216)
- E_form (eV/atom) = -0.293
- VASP energy (Ry/atom) = -0.291

***

(12)
Crystalline HoMgBiTe at its relaxed geometry. Source: Alexandria, functional PBE.

a b c (Å): 12.714 12.714 12.714
angles (deg): 22.09 22.09 22.09
Positions (direct):
Ho1 0.107 0.107 0.107
Ho2 0.893 0.893 0.893
Mg1 0.306 0.306 0.306
Mg2 0.694 0.694 0.694
Bi1 0.387 0.387 0.387
Bi2 0.613 0.613 0.613
Te1 0.197 0.197 0.197
Te2 0.803 0.803 0.803

Output
- space group = R-3m (166)
- VASP energy (Ry/atom) = -0.295
- formation energy from raw total energies (eV per atom) = -0.7117

***

(13)
Crystalline HoMgTlBi at its relaxed geometry. Source: Alexandria, functional PBE.

a b c (Å): 5.368 5.368 5.368
angles (deg): 60.00 60.00 60.00
Positions (direct):
Ho1 0.000 0.000 0.000
Mg1 0.500 0.500 0.500
Tl1 0.250 0.250 0.250
Bi1 0.750 0.750 0.750

Output
- space group = F-43m (216)
- E_form (eV/atom) = -0.213
- VASP energy (Ry/atom) = -0.244

***

(14)
Crystalline HoTm2MgBi4 at its relaxed geometry. Source: Alexandria, functional PBE.

a b c (Å): 7.703 4.404 7.724
angles (deg): 90.00 109.65 90.00
Positions (direct):
Ho1 0.000 0.000 0.000
Tm1 0.000 0.500 0.500
Tm2 0.500 0.000 0.500
Mg1 0.500 0.500 0.000
Bi1 0.252 0.500 0.251
Bi2 0.256 0.000 0.754
Bi3 0.744 0.000 0.246
Bi4 0.748 0.500 0.749

Output
- space group = P2/m (10)
- E_form (eV/atom) = -0.573
- VASP energy (Ry/atom) = -0.324

***

(15)
Crystalline YHoMgBi at its relaxed geometry. Source: Alexandria, functional PBE.

a b c (Å): 5.420 5.420 5.420
angles (deg): 60.00 60.00 60.00
Positions (direct):
Y1 0.000 0.000 0.000
Ho1 0.500 0.500 0.500
Mg1 0.250 0.250 0.250
Bi1 0.750 0.750 0.750

Output
- space group = F-43m (216)
- E_form (eV/atom) = -0.300
- VASP energy (Ry/atom) = -0.326

***

(16)
Crystalline Ho8MnBi2 at its relaxed geometry. Source: Alexandria, functional PBE.

a b c (Å): 9.079 9.079 6.917
angles (deg): 107.89 107.89 34.71
Positions (direct):
Ho1 0.007 0.007 0.236
Ho2 0.200 0.200 0.121
Ho3 0.366 0.366 0.671
Ho4 0.406 0.406 0.220
Ho5 0.594 0.594 0.780
Ho6 0.634 0.634 0.329
Ho7 0.800 0.800 0.879
Ho8 0.993 0.993 0.764
Mn1 0.500 0.500 0.000
Bi1 0.172 0.172 0.631
Bi2 0.828 0.828 0.369

Output
- space group = C2/m (12)
- E_form (eV/atom) = -0.171
- VASP energy (Ry/atom) = -0.370